[1]
VASP calculation (PBE) on a relaxed structure of La6CS2I3.

Cell and atoms, written as extended XYZ:
```
12
Lattice="-5.009 4.514 -2.572 -1.985 -5.836 3.753 2.668 4.574 6.210" Properties=species:S:1:pos:R:3 pbc="T T T"
La -3.772 4.303 5.015
La -4.763 -0.146 2.038
La -0.554 -1.050 2.376
La -2.835 1.094 6.976
La 0.438 3.399 5.353
La -1.491 2.159 0.416
C 0.000 0.000 0.000
S -2.994 -2.383 1.643
S -4.000 1.062 -0.462
I -1.168 -1.781 5.778
I -3.158 5.034 1.614
I -2.163 1.626 3.696
```

=====

[2]
VASP calculation (PBE) on a relaxed structure of Ni5Te3.

Cell and atoms, written as extended XYZ:
```
16
Lattice="-4.388 -0.274 5.556 6.975 -0.273 1.208 -1.130 6.340 -2.953" Properties=species:S:1:pos:R:3 pbc="T T T"
Ni 3.288 2.956 0.074
Ni -2.396 2.957 2.243
Ni -3.730 5.217 2.345
Ni 5.520 0.507 2.323
Ni 0.744 1.446 4.229
Ni 1.049 4.277 0.444
Ni -1.335 5.217 1.428
Ni 3.125 0.507 3.240
Ni 0.979 1.720 0.263
Ni 0.813 4.003 4.411
Te 2.065 -0.437 5.393
Te 0.772 -0.163 2.011
Te -1.267 3.086 -0.021
Te 2.228 2.813 2.519
Te 2.724 4.941 -1.398
Te -1.764 0.958 3.896
```

Computed properties:
Polymorph energy (0 for the lowest one) = 0 meV/atom

=====

The following total magnetic moment values (in μB per atom) correspond, in order, to the records above: 0.000, 0.000.
The following energy relative to the elements, uncorrected values (in eV per atom) correspond, in order, to the records above: -1.335, 0.016.